No. 1
# Cs4PuO4

Crystalline Cs4PuO4 at its relaxed geometry (PBE-GGA, the Alexandria database).

## Properties
VASP energy (Ry per atom): -0.431
ΔE_f (raw) (eV per atom): -1.690
E above lowest polymorph (eV/f.u.): 0.517
Total moment (μB per atom): 0.44

a = 6.677 Å, b = 6.677 Å, c = 11.846 Å
α = 90.00°, β = 90.00°, γ = 90.00°
Space group I-42m (No. 121)
Inequivalent atoms, fractional coordinates:
Cs  0.193  0.193  0.351
Pu  0.000  0.000  0.000
O  0.180  0.180  0.104

---

No. 2
# Cs2PuO4

Crystalline Cs2PuO4 at its relaxed geometry (PBE-GGA, the Alexandria database).

## Properties
VASP energy (Ry per atom): -0.545
ΔE_f (raw) (eV per atom): -2.294
Total moment (μB per atom): 0.29

a = 4.403 Å, b = 4.403 Å, c = 15.252 Å
α = 90.00°, β = 90.00°, γ = 90.00°
Space group I4/mmm (No. 139)
Inequivalent atoms, fractional coordinates:
Cs  0.000  0.000  0.151
Pu  0.000  0.000  0.500
O  0.000  0.000  0.374
O  0.000  0.500  0.000